No. 1
The following is a DFT calculation (PBE) of a relaxed Cs2In2PbF6 crystal.

Unit cell a=6.379 b=6.379 c=8.070 alpha=109.31 beta=109.31 gamma=65.10
Atoms (fractional coordinates):
Cs (0.208, 0.208, 0.125)
Cs (0.792, 0.792, 0.875)
In (0.399, 0.399, 0.766)
In (0.601, 0.601, 0.234)
Pb (0.000, 0.000, 0.500)
F (0.216, 0.705, 0.259)
F (0.230, 0.230, 0.488)
F (0.295, 0.784, 0.741)
F (0.705, 0.216, 0.259)
F (0.770, 0.770, 0.512)
F (0.784, 0.295, 0.741)

Properties
* volume: 24.9 A^3/atom
* formation energy without anion corrections: -24.28 eV/f.u.
* space group: C2/m (12)
* E: -4.218 eV per atom

---

No. 2
The following is a DFT calculation (PBE) of a relaxed Ce2ErRu crystal.

Unit cell a=3.679 b=3.679 c=7.380 alpha=90.00 beta=90.00 gamma=90.00
Atoms (fractional coordinates):
Ce (0.000, 0.000, 0.193)
Ce (0.000, 0.000, 0.807)
Er (0.500, 0.500, 0.500)
Ru (0.500, 0.500, 0.000)

Properties
* volume: 25.0 A^3/atom
* relative energy among the computed polymorphs: 61.6 kJ/mol of formula units
* space group: P4/mmm (123)
* E: -6.500 eV per atom
* energy of formation: -0.074 eV/atom

---

No. 3
The following is a DFT calculation (PBE) of a relaxed HfZr2Ag2 crystal.

Unit cell a=7.661 b=7.661 c=3.137 alpha=90.00 beta=90.00 gamma=145.05
Atoms (fractional coordinates):
Hf (0.000, 0.000, 0.000)
Zr (0.392, 0.608, 0.500)
Zr (0.608, 0.392, 0.500)
Ag (0.197, 0.803, 0.000)
Ag (0.803, 0.197, 0.000)

Properties
* volume: 21.1 A^3/atom
* relative energy among the computed polymorphs: 0.0 kJ/mol of formula units
* space group: Cmmm (65)
* E: -6.536 eV per atom
* energy of formation: 0.015 eV/atom

---

No. 4
The following is a DFT calculation (PBE) of a relaxed KCdHg6 crystal.

Unit cell a=9.556 b=9.556 c=9.556 alpha=32.90 beta=32.90 gamma=32.90
Atoms (fractional coordinates):
K (0.000, 0.000, 0.000)
Cd (0.500, 0.500, 0.500)
Hg (0.138, 0.138, 0.138)
Hg (0.259, 0.259, 0.259)
Hg (0.390, 0.390, 0.390)
Hg (0.610, 0.610, 0.610)
Hg (0.741, 0.741, 0.741)
Hg (0.862, 0.862, 0.862)

Properties
* volume: 28.6 A^3/atom
* relative energy among the computed polymorphs: 0.0 kJ/mol of formula units
* space group: R-3m (166)
* E: -0.589 eV per atom
* energy of formation: -0.111 eV/atom